1.
Computed, not measured: crystalline ErZrPd2 at its relaxed geometry at the GGA-PBE level of DFT.

```
ErZrPd2
1.0
1.978 1.142 6.528
-1.978 1.142 6.528
0.000 -2.284 6.528
Er Zr Pd
1 1 2
Direct
0.000 0.000 0.000
0.500 0.500 0.500
0.244 0.244 0.244
0.756 0.756 0.756
```

Properties
Fermi-level density of states (states/eV/cell): 1.89
ρ (g/cm3): 8.8
Total energy (eV per atom): -6.423
Space-group type: R-3m
Formation energy from the elements (eV per atom): -0.5489

2.
Computed, not measured: crystalline Er2ZrPd at its relaxed geometry at the GGA-PBE level of DFT.

```
Er2ZrPd
1.0
3.485 0.000 0.000
0.000 3.485 0.000
0.000 0.000 7.813
Er Zr Pd
2 1 1
Direct
0.000 0.000 0.218
0.000 0.000 0.782
0.500 0.500 0.500
0.500 0.500 0.000
```

Properties
Fermi-level density of states (states/eV/cell): 4.82
ρ (g/cm3): 9.3
Total energy (eV per atom): -6.125
Space-group type: P4/mmm
Formation energy from the elements (eV per atom): -0.4083

3.
Computed, not measured: crystalline ErZrPd2 at its relaxed geometry at the GGA-PBE level of DFT.

```
ErZrPd2
1.0
3.409 0.000 0.000
0.000 3.409 0.000
0.000 0.000 6.926
Er Zr Pd
1 1 2
Direct
0.000 0.000 0.000
0.000 0.000 0.500
0.500 0.500 0.273
0.500 0.500 0.727
```

Properties
Fermi-level density of states (states/eV/cell): 4.58
ρ (g/cm3): 9.7
Total energy (eV per atom): -6.604
Space-group type: P4/mmm
Formation energy from the elements (eV per atom): -0.7294

4.
Computed, not measured: crystalline ErZr2Pd9 at its relaxed geometry at the GGA-PBE level of DFT.

```
ErZr2Pd9
1.0
4.054 0.000 0.000
0.000 4.054 0.000
0.000 0.000 12.178
Er Zr Pd
1 2 9
Direct
0.000 0.000 0.000
0.000 0.000 0.333
0.000 0.000 0.667
0.000 0.500 0.173
0.000 0.500 0.500
0.000 0.500 0.827
0.500 0.000 0.173
0.500 0.000 0.500
0.500 0.000 0.827
0.500 0.500 0.000
0.500 0.500 0.336
0.500 0.500 0.664
```

Properties
Fermi-level density of states (states/eV/cell): 1.66
ρ (g/cm3): 10.8
Total energy (eV per atom): -6.567
Space-group type: P4/mmm
Formation energy from the elements (eV per atom): -0.8674

What is the ρ in the third record?
9.7 g/cm3

The lowest ρ belongs to which entry?
number 1

Among the records above, which one has the highest total energy?
Er2ZrPd

Which of these has the highest formation energy from the elements?
Er2ZrPd